Material: BaTe3C
Method: DFT, GGA-PBEsol
State: relaxed

a b c (Å): 6.6173 6.6173 6.6173
angles (deg): 90.00 90.00 90.00
Closest atoms and distances in Å follow each position.
Space group Pm-3m (No. 221)
Unique sites:
Ba: 0.0000 0.0000 0.0000 [1 per cell]  6 Te 3.31
Te: 0.0000 0.0000 0.5000 [3 per cell]  2 Ba 3.31
C: 0.5000 0.5000 0.5000 [1 per cell]  12 Te 4.68

Results
- E_form (uncorrected) (kJ/mol of formula units) = 936
- total DFT energy (no corrections) (eV per atom) = -2.535

Material: TiMoS3
Method: DFT, GGA-PBEsol
State: relaxed

a b c (Å): 6.0099 3.2141 8.6381
angles (deg): 90.00 105.29 90.00
Closest atoms and distances in Å follow each position.
Space group P2_1/m (No. 11)
Unique sites:
Ti: 0.2410 0.2500 0.4949 [2 per cell]  6 S 2.39-2.48
Mo: 0.3823 0.2500 0.8740 [2 per cell]  6 S 2.34-2.55
S: 0.0049 0.7500 0.3214 [2 per cell]  3 Ti 2.39-2.44, 1 Mo 2.49
S: 0.2185 0.7500 0.0108 [2 per cell]  3 Mo 2.34-2.36
S: 0.4846 0.7500 0.6747 [2 per cell]  3 Ti 2.44-2.48, 2 Mo 2.55

Results
- E_form (uncorrected) (kJ/mol of formula units) = -570
- total DFT energy (no corrections) (eV per atom) = -7.830

Material: MoRhSeN2
Method: DFT, GGA-PBEsol
State: relaxed

a b c (Å): 3.7926 3.7926 5.2066
angles (deg): 90.00 90.00 90.00
Closest atoms and distances in Å follow each position.
Space group P4/mmm (No. 123)
Unique sites:
Mo: 0.0000 0.0000 0.0000 [1 per cell]  4 N 1.90
Rh: 0.5000 0.5000 0.5000 [1 per cell]  4 Se 2.68
Se: 0.0000 0.0000 0.5000 [1 per cell]  2 Mo 2.60, 4 Rh 2.68
N: 0.0000 0.5000 0.0000 [2 per cell]  2 Mo 1.90

Results
- E_form (uncorrected) (kJ/mol of formula units) = 317
- total DFT energy (no corrections) (eV per atom) = -7.505

Material: MnFeNi2
Method: DFT, GGA-PBEsol
State: relaxed

a b c (Å): 4.9100 7.0962 2.4433
angles (deg): 90.00 90.00 90.00
Closest atoms and distances in Å follow each position.
Space group Cmmm (No. 65)
Unique sites:
Mn: 0.0000 0.0000 0.0000 [2 per cell]  2 Mn 2.44, 2 Fe 2.46, 8 Ni 2.48
Fe: 0.0000 0.5000 0.0000 [2 per cell]  2 Fe 2.44, 2 Mn 2.46, 8 Ni 2.48
Ni: 0.2500 0.2500 0.5000 [4 per cell]  4 Ni 2.44-2.46, 4 Mn 2.48, 4 Fe 2.48

Results
- ΔE_f (eV per atom) = 0.04
- total DFT energy (no corrections) (eV per atom) = -7.724

Material: KNiTe
Method: DFT, GGA-PBEsol
State: relaxed

a b c (Å): 6.8957 6.8957 6.8957
angles (deg): 90.00 90.00 90.00
Closest atoms and distances in Å follow each position.
Space group F-43m (No. 216)
Unique sites:
K: 0.0000 0.0000 0.0000 [4 per cell]  4 Te 2.99
Ni: 0.0000 0.0000 0.5000 [4 per cell]  4 Te 2.99
Te: 0.2500 0.2500 0.2500 [4 per cell]  4 K 2.99, 4 Ni 2.99

Results
- E_form (uncorrected) (kJ/mol of formula units) = 82
- total DFT energy (no corrections) (eV per atom) = -3.322

Material: KAl2B
Method: DFT, GGA-PBEsol
State: relaxed

a b c (Å): 6.5025 6.5025 6.5025
angles (deg): 90.00 90.00 90.00
Closest atoms and distances in Å follow each position.
Space group Fm-3m (No. 225)
Unique sites:
K: 0.0000 0.0000 0.0000 [4 per cell]  8 Al 2.82
Al: 0.2500 0.2500 0.2500 [8 per cell]  4 K 2.82, 4 B 2.82
B: 0.0000 0.0000 0.5000 [4 per cell]  8 Al 2.82

Results
- ΔE_f (eV per atom) = 1.16
- total DFT energy (no corrections) (eV per atom) = -2.922
- energy relative to the lowest polymorph listed for this composition (eV/f.u.) = 2.36

Material: Cu7PSe6
Method: DFT, GGA-PBEsol
State: relaxed

a b c (Å): 14.1742 7.0510 9.9072
angles (deg): 90.00 90.00 90.00
Closest atoms and distances in Å follow each position.
Space group Pna2_1 (No. 33)
Unique sites:
Cu: 0.0441 0.0747 0.0428 [4 per cell]  4 Se 2.37-2.53
Cu: 0.0568 0.4468 0.3817 [4 per cell]  4 Se 2.43-2.56, 2 Cu 2.48-2.68
Cu: 0.1220 0.6861 0.2242 [4 per cell]  3 Se 2.37-2.43, 2 Cu 2.48-2.53
Cu: 0.1585 0.0186 0.3061 [4 per cell]  2 Se 2.32-2.40, 2 Cu 2.53-2.56
Cu: 0.2072 0.7283 0.6942 [4 per cell]  3 Se 2.39-2.56, 3 Cu 2.51-2.68
Cu: 0.2306 0.5512 0.4573 [4 per cell]  3 Se 2.36-2.42
Cu: 0.2320 0.4205 0.0000 [4 per cell]  4 Se 2.42-2.55, 3 Cu 2.51-2.69
P: 0.1251 0.2493 0.7064 [4 per cell]  4 Se 2.21-2.23
Se: 0.0024 0.2483 0.5666 [4 per cell]  1 P 2.22, 3 Cu 2.38-2.43
Se: 0.1081 0.7775 0.4604 [4 per cell]  6 Cu 2.36-2.56
Se: 0.1179 0.5132 0.8307 [4 per cell]  1 P 2.23, 2 Cu 2.39-2.42
Se: 0.1244 0.2911 0.1848 [4 per cell]  5 Cu 2.32-2.55
Se: 0.1289 0.9909 0.8331 [4 per cell]  1 P 2.21, 2 Cu 2.38-2.47
Se: 0.2481 0.7532 0.0746 [4 per cell]  1 P 2.22, 3 Cu 2.37-2.47

Results
- E_form (uncorrected) (kJ/mol of formula units) = -84
- total DFT energy (no corrections) (eV per atom) = -4.293
- energy relative to the lowest polymorph listed for this composition (eV/f.u.) = 0.00

Material: Ti2IrI
Method: DFT, GGA-PBEsol
State: relaxed

a b c (Å): 5.9573 5.9573 11.6182
angles (deg): 90.00 90.00 90.00
Closest atoms and distances in Å follow each position.
Space group I-42d (No. 122)
Unique sites:
Ti: 0.1929 0.2500 0.1250 [8 per cell]  2 Ir 2.38
Ir: 0.0000 0.0000 0.0000 [4 per cell]  4 Ti 2.38
I: 0.0000 0.0000 0.5000 [4 per cell]  4 Ti 2.77

Results
- E_form (uncorrected) (kJ/mol of formula units) = 120
- total DFT energy (no corrections) (eV per atom) = -6.748

Material: TcRh
Method: DFT, GGA-PBEsol
State: relaxed

a b c (Å): 2.7029 2.7029 8.6336
angles (deg): 90.00 90.00 120.00
Closest atoms and distances in Å follow each position.
Space group P-3m1 (No. 164)
Unique sites:
Tc: 0.3333 0.6667 0.3764 [2 per cell]  3 Rh 2.64, 9 Tc 2.64-2.70
Rh: 0.3333 0.6667 0.8699 [2 per cell]  3 Tc 2.64, 9 Rh 2.70-2.73

Results
- ΔE_f (eV per atom) = -0.11
- total DFT energy (no corrections) (eV per atom) = -9.812
- energy relative to the lowest polymorph listed for this composition (eV/f.u.) = 0.18

Material: BaBePCl2
Method: DFT, GGA-PBEsol
State: relaxed

a b c (Å): 5.8304 5.8304 6.4935
angles (deg): 90.00 90.00 90.00
Closest atoms and distances in Å follow each position.
Space group P4/mmm (No. 123)
Unique sites:
Ba: 0.0000 0.0000 0.0000 [1 per cell]  4 Cl 2.92, 2 P 3.25
Be: 0.5000 0.5000 0.5000 [1 per cell]  4 P 4.12, 8 Cl 4.36
P: 0.0000 0.0000 0.5000 [1 per cell]  2 Ba 3.25
Cl: 0.0000 0.5000 0.0000 [2 per cell]  2 Ba 2.92

Results
- E_form (uncorrected) (kJ/mol of formula units) = 107
- total DFT energy (no corrections) (eV per atom) = -2.968

Material: BP3Rh
Method: DFT, GGA-PBEsol
State: relaxed

a b c (Å): 3.9734 3.9734 3.9734
angles (deg): 90.00 90.00 90.00
Closest atoms and distances in Å follow each position.
Space group Pm-3m (No. 221)
Unique sites:
B: 0.0000 0.0000 0.0000 [1 per cell]  6 P 1.99
P: 0.0000 0.0000 0.5000 [3 per cell]  2 B 1.99
Rh: 0.5000 0.5000 0.5000 [1 per cell]  12 P 2.81

Results
- ΔE_f (eV per atom) = 0.60
- total DFT energy (no corrections) (eV per atom) = -5.902

Material: Gd3Y
Method: DFT, GGA-PBEsol
State: relaxed

a b c (Å): 4.9456 4.9456 4.9456
angles (deg): 90.00 90.00 90.00
Closest atoms and distances in Å follow each position.
Space group Pm-3m (No. 221)
Unique sites:
Gd: 0.0000 0.0000 0.5000 [3 per cell]  8 Gd 3.50, 4 Y 3.50
Y: 0.5000 0.5000 0.5000 [1 per cell]  12 Gd 3.50

Results
- ΔE_f (eV per atom) = 0.03
- total DFT energy (no corrections) (eV per atom) = -12.512

Material: BeZnBr2
Method: DFT, GGA-PBEsol
State: relaxed

a b c (Å): 6.7063 6.7063 6.7063
angles (deg): 90.00 90.00 90.00
Closest atoms and distances in Å follow each position.
Space group Fm-3m (No. 225)
Unique sites:
Be: 0.0000 0.0000 0.0000 [4 per cell]  8 Br 2.90
Zn: 0.0000 0.0000 0.5000 [4 per cell]  8 Br 2.90
Br: 0.2500 0.2500 0.2500 [8 per cell]  4 Be 2.90, 4 Zn 2.90

Results
- E_form (uncorrected) (kJ/mol of formula units) = 143
- total DFT energy (no corrections) (eV per atom) = -1.959
- energy relative to the lowest polymorph listed for this composition (eV/f.u.) = 2.73

Material: CrReW2
Method: DFT, GGA-PBEsol
State: relaxed

a b c (Å): 2.6757 4.3158 5.0849
angles (deg): 90.00 100.11 90.00
Closest atoms and distances in Å follow each position.
Space group Pm (No. 6)
Unique sites:
Cr: 0.0000 0.0000 0.0000 [1 per cell]  4 W 2.61-2.67, 2 Re 2.66, 2 Cr 2.68
Re: 0.7406 0.5000 0.2494 [1 per cell]  4 W 2.60-2.71, 2 Cr 2.66, 2 Re 2.68
W: 0.2391 0.5000 0.7620 [1 per cell]  2 Re 2.60-2.71, 2 Cr 2.61, 4 W 2.68
W: 0.4883 0.0000 0.4991 [1 per cell]  2 Cr 2.64-2.67, 2 Re 2.65, 4 W 2.68

Results
- ΔE_f (eV per atom) = 0.10
- total DFT energy (no corrections) (eV per atom) = -12.697
- energy relative to the lowest polymorph listed for this composition (eV/f.u.) = 0.24

Material: CdAg2Hg
Method: DFT, GGA-PBEsol
State: relaxed

a b c (Å): 4.5872 4.5872 3.4834
angles (deg): 90.00 90.00 90.00
Closest atoms and distances in Å follow each position.
Space group P4/mmm (No. 123)
Unique sites:
Cd: 0.0000 0.0000 0.0000 [1 per cell]  8 Ag 2.88
Ag: 0.0000 0.5000 0.5000 [2 per cell]  4 Hg 2.88, 4 Cd 2.88
Hg: 0.5000 0.5000 0.0000 [1 per cell]  8 Ag 2.88

Results
- ΔE_f (eV per atom) = -0.02
- total DFT energy (no corrections) (eV per atom) = -2.112
- energy relative to the lowest polymorph listed for this composition (eV/f.u.) = 0.07

Material: ScPPt2
Method: DFT, GGA-PBEsol
State: relaxed

a b c (Å): 3.8326 3.8326 8.3380
angles (deg): 90.00 90.00 90.00
Closest atoms and distances in Å follow each position.
Space group I4/mmm (No. 139)
Unique sites:
Sc: 0.0000 0.0000 0.0000 [2 per cell]  4 P 2.71, 8 Pt 2.83
P: 0.0000 0.0000 0.5000 [2 per cell]  4 Sc 2.71, 8 Pt 2.83
Pt: 0.0000 0.5000 0.2500 [4 per cell]  4 Pt 2.71, 4 Sc 2.83, 4 P 2.83

Results
- ΔE_f (eV per atom) = -0.81
- total DFT energy (no corrections) (eV per atom) = -7.394

Material: BeInC3
Method: DFT, GGA-PBEsol
State: relaxed

a b c (Å): 4.2485 4.2485 4.2485
angles (deg): 90.00 90.00 90.00
Closest atoms and distances in Å follow each position.
Space group Pm-3m (No. 221)
Unique sites:
Be: 0.0000 0.0000 0.0000 [1 per cell]  12 C 3.00
In: 0.5000 0.5000 0.5000 [1 per cell]  6 C 2.12
C: 0.0000 0.5000 0.5000 [3 per cell]  2 In 2.12

Results
- ΔE_f (eV per atom) = 3.52
- total DFT energy (no corrections) (eV per atom) = -3.663

Material: NaNi2HgS
Method: DFT, GGA-PBEsol
State: relaxed

a b c (Å): 4.1696 4.1696 5.1014
angles (deg): 90.00 90.00 90.00
Closest atoms and distances in Å follow each position.
Space group P4/mmm (No. 123)
Unique sites:
Na: 0.0000 0.0000 0.0000 [1 per cell]  2 S 2.55
Ni: 0.0000 0.5000 0.5000 [2 per cell]  2 S 2.08
Hg: 0.5000 0.5000 0.0000 [1 per cell]  4 Na 2.95, 8 Ni 3.29
S: 0.0000 0.0000 0.5000 [1 per cell]  4 Ni 2.08

Results
- E_form (uncorrected) (kJ/mol of formula units) = -14
- total DFT energy (no corrections) (eV per atom) = -3.762

Material: Ba2FeAu
Method: DFT, GGA-PBEsol
State: relaxed

a b c (Å): 5.4088 5.5568 7.8041
angles (deg): 90.00 90.00 90.00
Closest atoms and distances in Å follow each position.
Space group Immm (No. 71)
Unique sites:
Ba: 0.0000 0.0000 0.2468 [4 per cell]  4 Fe 3.32-3.41, 4 Au 3.35-3.38
Fe: 0.0000 0.5000 0.5000 [2 per cell]  8 Ba 3.32-3.41
Au: 0.0000 0.5000 0.0000 [2 per cell]  8 Ba 3.35-3.38

Results
- ΔE_f (eV per atom) = 0.25
- total DFT energy (no corrections) (eV per atom) = -4.044
- energy relative to the lowest polymorph listed for this composition (eV/f.u.) = 0.74

Material: NiRh2Au
Method: DFT, GGA-PBEsol
State: relaxed

a b c (Å): 2.7482 4.5120 8.9009
angles (deg): 90.00 90.00 90.00
Closest atoms and distances in Å follow each position.
Space group Imm2 (No. 44)
Unique sites:
Ni: 0.0000 0.0000 0.0000 [2 per cell]  6 Rh 2.49-2.65, 2 Au 2.59, 2 Ni 2.75
Rh: 0.0000 0.0000 0.4841 [2 per cell]  4 Rh 2.62-2.75, 4 Ni 2.65, 2 Au 2.76
Rh: 0.0000 0.5000 0.7335 [2 per cell]  2 Ni 2.49, 4 Rh 2.62-2.75, 4 Au 2.65
Au: 0.0000 0.5000 0.2533 [2 per cell]  2 Ni 2.59, 6 Rh 2.65-2.76, 2 Au 2.75

Results
- ΔE_f (eV per atom) = 0.25
- total DFT energy (no corrections) (eV per atom) = -6.336
- energy relative to the lowest polymorph listed for this composition (eV/f.u.) = 0.65

Material: CuRe2P
Method: DFT, GGA-PBEsol
State: relaxed

a b c (Å): 6.0093 6.0093 6.0093
angles (deg): 90.00 90.00 90.00
Closest atoms and distances in Å follow each position.
Space group F-43m (No. 216)
Unique sites:
Cu: 0.0000 0.0000 0.0000 [4 per cell]  4 Re 2.60, 4 P 2.60
Re: 0.0000 0.0000 0.5000 [4 per cell]  4 Re 2.60, 4 P 2.60
Re: 0.2500 0.2500 0.2500 [4 per cell]  4 Re 2.60, 4 Cu 2.60
P: 0.2500 0.2500 0.7500 [4 per cell]  4 Re 2.60, 4 Cu 2.60

Results
- ΔE_f (eV per atom) = 0.43
- total DFT energy (no corrections) (eV per atom) = -8.763

Material: Tl2TcAg
Method: DFT, GGA-PBEsol
State: relaxed

a b c (Å): 3.9998 3.9998 9.5768
angles (deg): 90.00 90.00 90.00
Closest atoms and distances in Å follow each position.
Space group I-4m2 (No. 119)
Unique sites:
Tl: 0.0000 0.0000 0.0000 [2 per cell]  4 Ag 2.83, 4 Tl 3.12, 4 Tc 3.12
Tl: 0.0000 0.5000 0.2500 [2 per cell]  4 Tc 2.83, 4 Tl 3.12, 4 Ag 3.12
Tc: 0.0000 0.5000 0.7500 [2 per cell]  8 Tl 2.83-3.12, 4 Ag 3.12
Ag: 0.0000 0.0000 0.5000 [2 per cell]  8 Tl 2.83-3.12, 4 Tc 3.12

Results
- ΔE_f (eV per atom) = 0.60
- total DFT energy (no corrections) (eV per atom) = -4.355
- energy relative to the lowest polymorph listed for this composition (eV/f.u.) = 0.11

Material: Tc2Ir
Method: DFT, GGA-PBEsol
State: relaxed

a b c (Å): 2.7217 14.2322 4.3163
angles (deg): 90.00 90.00 90.00
Closest atoms and distances in Å follow each position.
Space group Cmcm (No. 63)
Unique sites:
Tc: 0.0000 0.0544 0.2500 [4 per cell]  10 Tc 2.66-2.72, 2 Ir 2.75
Tc: 0.0000 0.3890 0.2500 [4 per cell]  8 Tc 2.68-2.72, 4 Ir 2.68-2.73
Ir: 0.0000 0.2776 0.7500 [4 per cell]  6 Ir 2.67-2.72, 6 Tc 2.68-2.75

Results
- ΔE_f (eV per atom) = -0.16
- total DFT energy (no corrections) (eV per atom) = -10.944
- energy relative to the lowest polymorph listed for this composition (eV/f.u.) = 0.20

Material: Ag7Au
Method: DFT, GGA-PBEsol
State: relaxed

a b c (Å): 8.0969 8.0969 8.0969
angles (deg): 90.00 90.00 90.00
Closest atoms and distances in Å follow each position.
Space group Fm-3m (No. 225)
Unique sites:
Ag: 0.0000 0.0000 0.0000 [4 per cell]  12 Ag 2.86
Ag: 0.0000 0.2500 0.2500 [24 per cell]  2 Au 2.86, 10 Ag 2.86
Au: 0.0000 0.0000 0.5000 [4 per cell]  12 Ag 2.86

Results
- ΔE_f (eV per atom) = -0.02
- total DFT energy (no corrections) (eV per atom) = -3.411

Material: Rb2HBr
Method: DFT, GGA-PBEsol
State: relaxed

a b c (Å): 7.7983 7.7983 7.7983
angles (deg): 90.00 90.00 90.00
Closest atoms and distances in Å follow each position.
Space group Fm-3m (No. 225)
Unique sites:
Rb: 0.2500 0.2500 0.2500 [8 per cell]  4 H 3.38, 4 Br 3.38
H: 0.0000 0.0000 0.0000 [4 per cell]  8 Rb 3.38
Br: 0.0000 0.0000 0.5000 [4 per cell]  8 Rb 3.38

Results
- total DFT energy (no corrections) (eV per atom) = -2.665
- energy relative to the lowest polymorph listed for this composition (eV/f.u.) = 0.06

Material: CoSbS3
Method: DFT, GGA-PBEsol
State: relaxed

a b c (Å): 4.9052 4.9052 4.9052
angles (deg): 90.00 90.00 90.00
Closest atoms and distances in Å follow each position.
Space group Pm-3m (No. 221)
Unique sites:
Co: 0.0000 0.0000 0.0000 [1 per cell]  12 S 3.47
Sb: 0.5000 0.5000 0.5000 [1 per cell]  6 S 2.45
S: 0.0000 0.5000 0.5000 [3 per cell]  2 Sb 2.45

Results
- E_form (uncorrected) (kJ/mol of formula units) = 496
- total DFT energy (no corrections) (eV per atom) = -4.061